Entry 1:
DFT (GGA-PBEsol) results for a relaxed RuN2Cl crystal.

Crystal system: trigonal
Energy relative to the elements, uncorrected (kJ/mol of atoms): 160.4

Lattice parameters (Å, degrees): 6.6815 6.6815 6.6815 25.37 25.37 25.37
Element x y z (fractional)
Ru (0.0000, 0.0000, 0.0000)
N (0.0928, 0.0928, 0.0928)
N (0.9072, 0.9072, 0.9072)
Cl (0.5000, 0.5000, 0.5000)

***

Entry 2:
DFT (GGA-PBEsol) results for a relaxed Ta2FeAu crystal.

Crystal system: monoclinic
ΔH_f (0 K) (kJ/mol of atoms): -4

Lattice parameters (Å, degrees): 2.8784 3.8488 5.5931 90.00 96.61 90.00
Element x y z (fractional)
Ta (0.0596, 0.0000, 0.2734)
Ta (0.9404, 0.0000, 0.7266)
Fe (0.5000, 0.5000, 0.5000)
Au (0.5000, 0.5000, 0.0000)